Entry from Alexandria: CrAg2AuO after structural relaxation (PBE+U).

Its crystal system is tetragonal. As for the total energy: -3.998 eV per atom.

The structure belongs to space group P4/mmm (No. 123); the cell edges are 4.4113, 4.4113 and 4.7068 Å and the angles 90.00°, 90.00° and 90.00°. The asymmetric unit holds Cr at (0.0000, 0.0000, 0.0000), Ag at (0.0000, 0.5000, 0.5000), Au at (0.5000, 0.5000, 0.0000) and O at (0.5000, 0.5000, 0.5000).